A geometry-optimized Ba2SrAg2 structure. Source: the Alexandria database, functional PBEsol.

Summary:
VASP energy (eV/atom): -2.750
DFT formation energy (eV per atom): -0.198

a b c (Å): 8.6870 8.6870 4.7830
angles (deg): 90.00 90.00 90.00
Last column: nearest neighbours and their distance in Å.
Space group P4/mbm (No. 127)
Inequivalent atoms, fractional coordinates:
1 Ba 0.1684 0.3316 0.0000  6 Ag 3.48-3.54
2 Sr 0.0000 0.0000 0.5000  4 Ag 3.47
3 Ag 0.1191 0.6191 0.5000  1 Ag 2.93

A geometry-optimized Ba3SrAg structure. Source: the Alexandria database, functional PBEsol.

Summary:
VASP energy (eV/atom): -2.350
DFT formation energy (eV per atom): -0.030

a b c (Å): 6.4573 6.4573 6.4573
angles (deg): 90.00 90.00 90.00
Last column: nearest neighbours and their distance in Å.
Space group Pm-3m (No. 221)
Inequivalent atoms, fractional coordinates:
1 Ba 0.0000 0.0000 0.5000  2 Ag 3.23
2 Sr 0.5000 0.5000 0.5000  12 Ba 4.57
3 Ag 0.0000 0.0000 0.0000  6 Ba 3.23

Which formula does entry 2 have? Ba3SrAg

DFT formation energy of number 2 (Ba3SrAg)? -0.030 eV per atom

What did the first record say?
A geometry-optimized Ba2SrAg2 structure. Source: the Alexandria database, functional PBEsol.

Summary:
VASP energy (eV/atom): -2.750
DFT formation energy (eV per atom): -0.198

a b c (Å): 8.6870 8.6870 4.7830
angles (deg): 90.00 90.00 90.00
Last column: nearest neighbours and their distance in Å.
Space group P4/mbm (No. 127)
Inequivalent atoms, fractional coordinates:
1 Ba 0.1684 0.3316 0.0000  6 Ag 3.48-3.54
2 Sr 0.0000 0.0000 0.5000  4 Ag 3.47
3 Ag 0.1191 0.6191 0.5000  1 Ag 2.93